A plane-wave DFT calculation with GGA-PBEsol was carried out for AlTc2Mo after structural relaxation.

The space group is Imm2 (No. 44) and the conventional cell measures 3.1029, 4.1997 and 8.6986 Å, with angles of 90.00, 90.00 and 90.00 degrees. Symmetry generates all atoms from Al at (0.0000, 0.0000, 0.0000), Tc at (0.0000, 0.0000, 0.5013), Tc at (0.0000, 0.5000, 0.2479) and Mo at (0.0000, 0.5000, 0.7587).

The energy of formation from the pure elements is -0.237 eV/atom. The value obtained for the volume is 14.2 Å³/atom.